## NaBePt (GGA-PBE)

Data for NaBePt after structural relaxation.

```
NaBePt
1.0
0.000 2.978 2.978
2.978 0.000 2.978
2.978 2.978 0.000
Be Pt Na
1 1 1
Cartesian
1.489 1.489 1.489 Be
4.466 4.466 4.466 Pt
0.000 0.000 0.000 Na
```

* energy above the most stable polymorph in this dataset: 2.41 eV per formula unit
* final energy: -2.80 eV per atom
* spin magnetization: 0.00 μB per atom